Below is a geometry-optimized KLaZrVO6 structure, with properties calculated at the PBE+U level.

E_tot: -313.5 eV for the cell shown
D(E_F): 10.47 states/eV per cell
Crystal system: cubic

The structure in CIF format:
```
data_KLaZrVO6
_chemical_formula_sum 'K4 La4 Zr4 V4 O24'
_symmetry_space_group_name_H-M 'F -4 3 m'
_symmetry_Int_Tables_number 216
_symmetry_space_group_name_Hall 'F -4 2 3'
_cell_length_a 8.063
_cell_length_b 8.063
_cell_length_c 8.063
_cell_angle_alpha 90.00
_cell_angle_beta 90.00
_cell_angle_gamma 90.00
loop_
_atom_site_label
_atom_site_type_symbol
_atom_site_fract_x
_atom_site_fract_y
_atom_site_fract_z
_atom_site_occupancy
K1 K 0.000 0.000 0.000 1
La1 La 0.000 0.000 0.500 1
Zr1 Zr 0.250 0.250 0.750 1
V1 V 0.250 0.250 0.250 1
O1 O 0.009 0.250 0.250 1
```